## Tb2ThFe (GGA-PBE)

Data for Tb2ThFe after structural relaxation.

```
data_Tb2ThFe
_cell_length_a 7.4284
_cell_length_b 7.4284
_cell_length_c 7.4284
_cell_angle_alpha 90.00
_cell_angle_beta 90.00
_cell_angle_gamma 90.00
_symmetry_space_group_name_H-M 'F m -3 m'
_symmetry_Int_Tables_number 225
_symmetry_space_group_name_Hall '-F 4 2 3'
loop_
_atom_site_label
_atom_site_type_symbol
_atom_site_fract_x
_atom_site_fract_y
_atom_site_fract_z
_atom_site_occupancy
Tb1 Tb 0.2500 0.2500 0.2500 1
Th1 Th 0.0000 0.0000 0.0000 1
Fe1 Fe 0.0000 0.0000 0.5000 1
```

Computed properties:
* final energy: -5.79 eV per atom
* energy relative to the elements: 0.498 eV/atom

---

## SrTa2Pt (GGA-PBE)

Data for SrTa2Pt after structural relaxation.

```
data_SrTa2Pt
_cell_length_a 6.8739
_cell_length_b 6.8739
_cell_length_c 6.8739
_cell_angle_alpha 90.00
_cell_angle_beta 90.00
_cell_angle_gamma 90.00
_symmetry_space_group_name_H-M 'F -4 3 m'
_symmetry_Int_Tables_number 216
_symmetry_space_group_name_Hall 'F -4 2 3'
loop_
_atom_site_label
_atom_site_type_symbol
_atom_site_fract_x
_atom_site_fract_y
_atom_site_fract_z
_atom_site_occupancy
Sr1 Sr 0.0000 0.0000 0.0000 1
Ta1 Ta 0.0000 0.0000 0.5000 1
Ta2 Ta 0.2500 0.2500 0.2500 1
Pt1 Pt 0.2500 0.2500 0.7500 1
```

Computed properties:
* final energy: -7.34 eV per atom
* energy relative to the elements: 0.516 eV/atom

---

Please write out number 2 again, unchanged.
## SrTa2Pt (GGA-PBE)

Data for SrTa2Pt after structural relaxation.

```
data_SrTa2Pt
_cell_length_a 6.8739
_cell_length_b 6.8739
_cell_length_c 6.8739
_cell_angle_alpha 90.00
_cell_angle_beta 90.00
_cell_angle_gamma 90.00
_symmetry_space_group_name_H-M 'F -4 3 m'
_symmetry_Int_Tables_number 216
_symmetry_space_group_name_Hall 'F -4 2 3'
loop_
_atom_site_label
_atom_site_type_symbol
_atom_site_fract_x
_atom_site_fract_y
_atom_site_fract_z
_atom_site_occupancy
Sr1 Sr 0.0000 0.0000 0.0000 1
Ta1 Ta 0.0000 0.0000 0.5000 1
Ta2 Ta 0.2500 0.2500 0.2500 1
Pt1 Pt 0.2500 0.2500 0.7500 1
```

Computed properties:
* final energy: -7.34 eV per atom
* energy relative to the elements: 0.516 eV/atom